Entry 1:
Np3TlAg2S8 after structural relaxation. Source: the Alexandria database, functional PBE.

a = 8.278 Å, b = 8.278 Å, c = 7.702 Å
α = 57.49°, β = 57.49°, γ = 60.00°
Fractional positions:
Ag (0.119, 0.119, 0.643)
Np (0.995, 0.502, 0.002)
S (0.726, 0.239, 0.795)
Np (0.502, 0.502, 0.002)
S (0.239, 0.239, 0.795)
S (0.239, 0.726, 0.795)
Np (0.502, 0.995, 0.002)
S (0.723, 0.309, 0.246)
S (0.259, 0.259, 0.222)
S (0.723, 0.723, 0.246)
S (0.309, 0.723, 0.246)
Ag (0.476, 0.476, 0.573)
S (0.741, 0.741, 0.776)
Tl (0.941, 0.941, 0.178)

Summary:
* density: 6429 kg/m3
* space-group type: R3m
* D(E_F): 26.30 states/eV/f.u.
* energy relative to the elements, uncorrected: -0.842 eV per atom

---

Entry 2:
Tm3NpAg3S8 after structural relaxation. Source: the Alexandria database, functional PBE.

a = 7.955 Å, b = 7.951 Å, c = 7.694 Å
α = 121.38°, β = 90.00°, γ = 120.01°
Fractional positions:
S (0.755, 0.009, 0.266)
S (0.755, 0.510, 0.266)
S (0.745, 0.991, 0.734)
S (0.245, 0.490, 0.734)
S (0.253, 0.507, 0.262)
Tm (0.000, 0.500, 0.500)
Np (0.000, 0.000, 0.500)
S (0.747, 0.493, 0.738)
Ag (0.000, 0.000, 0.000)
Tm (0.500, 0.000, 0.500)
Ag (0.000, 0.500, 0.000)
Tm (0.500, 0.500, 0.500)
S (0.245, 0.991, 0.734)
S (0.255, 0.009, 0.266)
Ag (0.500, 0.500, 0.000)

Summary:
* density: 6530 kg/m3
* space-group type: C2/m
* D(E_F): 4.83 states/eV/f.u.
* energy relative to the elements, uncorrected: -1.269 eV per atom